Computed, not measured: a geometry-optimized BaPbCl2 structure at the PBE level of DFT.

POSCAR file:
```
BaPbCl2
1.0
-2.577 2.577 4.570
2.577 -2.577 4.570
2.577 2.577 -4.570
Ba Pb Cl
1 1 2
Cartesian
0.000 0.000 0.000
0.000 0.000 4.570
2.577 0.000 2.285
0.000 2.577 2.285
```

Properties
The calculation puts the density of states at the Fermi level at 0.782 states/eV/atom. Its total DFT energy (no corrections) is -0.2592 Ry per atom. The calculation puts the offset from the most stable computed form at 79 kJ/mol of formula units. The calculation puts the uncorrected formation energy at -1196 meV per atom.